Entry 1:
Here is a geometry-optimized Cd2ReHg structure from the Alexandria database. Energies are from PBE.

abc: 4.0814 4.0814 10.4541
angles: 78.74 78.74 90.00
Last column: nearest neighbours and their distance in Å.
Sites, in units of the cell vectors:
Cd1 0.3750 0.3918 0.7500  4 Cd 2.79-2.98, 2 Re 2.87, 2 Hg 2.92
Hg1 0.0000 0.0000 0.0000  4 Re 2.89, 4 Cd 2.92
Re1 0.5000 0.5000 0.0000  4 Cd 2.87, 4 Hg 2.89
Hg2 0.7500 0.2500 0.5000  4 Re 2.89, 4 Cd 2.92
Cd2 0.6082 0.1250 0.2500  4 Cd 2.79-2.98, 2 Re 2.87, 2 Hg 2.92
Re2 0.2500 0.7500 0.5000  4 Cd 2.87, 4 Hg 2.89
Cd3 0.8750 0.8582 0.7500  4 Cd 2.79-2.98, 2 Re 2.87, 2 Hg 2.92
Cd4 0.1418 0.6250 0.2500  4 Cd 2.79-2.98, 2 Re 2.87, 2 Hg 2.92

Its magnetic moment is 0.0 Bohr magnetons per cell. As for the energy relative to the elements: 0.931 eV per atom. The space group is I-42d (122). The density of states at the Fermi level is 5.2 states/eV/cell.

Entry 2:
Here is a geometry-optimized CdReHg structure from the Alexandria database. Energies are from PBE.

abc: 7.9740 7.7021 2.9313
angles: 84.50 74.04 21.46
Last column: nearest neighbours and their distance in Å.
Sites, in units of the cell vectors:
Re1 0.3342 0.3342 0.6658  2 Cd 2.84, 2 Hg 2.88, 6 Re 2.93-2.94
Cd1 0.9950 0.9950 0.0050  2 Re 2.84, 6 Cd 2.93-2.94, 2 Hg 3.04
Hg1 0.6707 0.6707 0.3293  2 Re 2.88, 6 Hg 2.93-2.94, 2 Cd 3.04

Its magnetic moment is 0.1 Bohr magnetons per cell. The energy above the lowest structure with this stoichiometry comes out at 20.1 meV per atom. As for the energy relative to the elements: 0.694 eV per atom. The space group is Fmm2 (42). The density of states at the Fermi level is 1.8 states/eV/cell.

Entry 3:
Here is a geometry-optimized Cd2ReHg structure from the Alexandria database. Energies are from PBE.

abc: 6.1010 6.1010 6.1010
angles: 151.77 132.01 56.62
Last column: nearest neighbours and their distance in Å.
Sites, in units of the cell vectors:
Cd1 0.0249 0.0249 0.0000  2 Re 2.84, 6 Cd 2.94-2.98
Re1 0.2500 0.7500 0.5000  4 Cd 2.84, 4 Hg 2.89, 2 Re 2.98
Hg1 0.7500 0.2500 0.5000  4 Re 2.89, 2 Hg 2.98
Cd2 0.4751 0.4751 0.0000  2 Re 2.84, 6 Cd 2.94-2.98

Its magnetic moment is 0.0 Bohr magnetons per cell. As for the energy relative to the elements: 0.626 eV per atom. The space group is Immm (71). The density of states at the Fermi level is 1.7 states/eV/cell.

Entry 4:
Here is a geometry-optimized CdRe2Hg structure from the Alexandria database. Energies are from PBE.

abc: 2.7809 2.7809 9.7985
angles: 90.00 90.00 112.62
Last column: nearest neighbours and their distance in Å.
Sites, in units of the cell vectors:
Hg1 0.5000 0.5000 0.7500  6 Hg 2.78-3.09, 4 Re 2.91
Re1 0.0000 0.0000 0.0016  6 Re 2.78-3.09, 2 Cd 2.88, 2 Hg 2.91
Re2 0.0000 0.0000 0.4984  6 Re 2.78-3.09, 2 Cd 2.88, 2 Hg 2.91
Cd1 0.5000 0.5000 0.2500  6 Cd 2.78-3.09, 4 Re 2.88

Its magnetic moment is 0.0 Bohr magnetons per cell. The energy above the lowest structure with this stoichiometry comes out at 544.3 meV per atom. As for the energy relative to the elements: 0.857 eV per atom. The space group is Cmmm (65). The density of states at the Fermi level is 2.3 states/eV/cell.

Entry 5:
Here is a geometry-optimized CdRe2Hg structure from the Alexandria database. Energies are from PBE.

abc: 7.6896 7.6896 6.0481
angles: 50.53 50.53 90.00
Last column: nearest neighbours and their distance in Å.
Sites, in units of the cell vectors:
Cd1 0.5000 0.5000 0.0000  2 Hg 2.65, 4 Re 2.84
Hg1 0.0000 0.0000 0.0000  2 Cd 2.65, 4 Re 2.75
Hg2 0.7500 0.2500 0.5000  2 Cd 2.65, 4 Re 2.75
Re1 0.1165 0.6250 0.2500  2 Re 2.65, 2 Hg 2.75, 2 Cd 2.84
Re2 0.3750 0.3665 0.7500  2 Re 2.65, 2 Hg 2.75, 2 Cd 2.84
Cd2 0.2500 0.7500 0.5000  2 Hg 2.65, 4 Re 2.84
Re3 0.6335 0.1250 0.2500  2 Re 2.65, 2 Hg 2.75, 2 Cd 2.84
Re4 0.8750 0.8835 0.7500  2 Re 2.65, 2 Hg 2.75, 2 Cd 2.84

Its magnetic moment is 4.3 Bohr magnetons per cell. The energy above the lowest structure with this stoichiometry comes out at 1199.8 meV per atom. As for the energy relative to the elements: 1.513 eV per atom. The space group is I-42d (122). The density of states at the Fermi level is 6.7 states/eV/cell.

Entry 6:
Here is a geometry-optimized CdReHg structure from the Alexandria database. Energies are from PBE.

abc: 2.9262 2.9262 7.5917
angles: 90.00 90.00 120.00
Last column: nearest neighbours and their distance in Å.
Sites, in units of the cell vectors:
Cd1 0.0000 0.0000 0.9836  3 Re 2.92, 6 Cd 2.93, 3 Hg 3.23
Re1 0.3333 0.6667 0.6694  3 Cd 2.92, 6 Re 2.93, 3 Hg 2.97
Hg1 0.6667 0.3333 0.3470  6 Hg 2.93, 3 Re 2.97, 3 Cd 3.23

Its magnetic moment is 0.0 Bohr magnetons per cell. The energy above the lowest structure with this stoichiometry comes out at 0.0 meV per atom. As for the energy relative to the elements: 0.674 eV per atom. The space group is P3m1 (156). The density of states at the Fermi level is 2.7 states/eV/cell.

| no. | V (Å³/atom) |
| --- | --- |
| 1 | 20.9 |
| 2 | 18.8 |
| 3 | 19.8 |
| 4 | 17.5 |
| 5 | 19.6 |
| 6 | 18.8 |